Here is a geometry-optimized Li3TaSn structure from Alexandria via LeMat-Bulk. Energies are from GGA-PBEsol.

Cell: 4.6340 4.6340 4.6340 Å, 90.00 90.00 90.00°
Closest atoms and distances in Å follow each position.
Space group Pm-3m (No. 221)
Unique sites:
Li 0.0000 0.0000 0.5000  2 Sn 2.32
Ta 0.5000 0.5000 0.5000  12 Li 3.28
Sn 0.0000 0.0000 0.0000  6 Li 2.32

Its crystal system is cubic. For the density of states at the Fermi level, the calculation gives 3.39 states/eV per cell. The value obtained for the formation enthalpy at 0 K is 1081 meV/atom.